CaZn2Ga | GGA-PBE | relaxed

Cell and atoms, written as CIF:
```
data_CaZn2Ga
_chemical_formula_sum 'Ca2 Zn4 Ga2'
_cell_length_a 4.0683
_cell_length_b 4.0683
_cell_length_c 9.9886
_cell_angle_alpha 90.00
_cell_angle_beta 90.00
_cell_angle_gamma 90.00
_space_group_name_H-M_alt 'P 1'
_space_group_IT_number 1
loop_
_space_group_symop_operation_xyz
'x,y,z'
loop_
_atom_site_label
_atom_site_type_symbol
_atom_site_fract_x
_atom_site_fract_y
_atom_site_fract_z
Ca1 Ca 0.2500 0.2500 0.2357
Ca2 Ca 0.7500 0.7500 0.7643
Zn1 Zn 0.2500 0.2500 0.9328
Zn2 Zn 0.2500 0.7500 0.5000
Zn3 Zn 0.7500 0.2500 0.5000
Zn4 Zn 0.7500 0.7500 0.0672
Ga1 Ga 0.2500 0.2500 0.6613
Ga2 Ga 0.7500 0.7500 0.3387
```

Results
The volume is 165.3 Å³/cell. Its density of states at the Fermi level is 0.50 states/eV/atom. The space group is P4/nmm (129). The value obtained for the formation energy is -0.248 eV/atom. The magnetic moment is 0.000 μB/atom.